w:
SrNdNiO4: optimized geometry, GGA+U.

mass density	6.476	Mg/m³
SG	No. 63

Structure (POSCAR):
```
SrNdNiO4
1.0
2.698 -6.225 0.000
2.698 6.225 0.000
0.000 0.000 5.414
Sr Nd Ni O
2 2 2 8
direct
0.106 0.894 0.750
0.894 0.106 0.250
0.385 0.615 0.750
0.615 0.385 0.250
0.250 0.750 0.250
0.750 0.250 0.750
0.000 0.500 0.000
0.000 0.500 0.500
0.089 0.911 0.250
0.425 0.575 0.250
0.500 0.000 0.000
0.500 0.000 0.500
0.575 0.425 0.750
0.911 0.089 0.750
```

x:
SrNdNiO4: optimized geometry, GGA+U.

mass density	6.462	Mg/m³
SG	No. 107

Structure (POSCAR):
```
SrNdNiO4
1.0
-1.913 1.913 6.221
1.913 -1.913 6.221
1.913 1.913 -6.221
Sr Nd Ni O
1 1 1 4
direct
0.000 0.000 0.000
0.720 0.720 0.000
0.362 0.362 0.000
0.195 0.195 0.000
0.350 0.850 0.500
0.531 0.531 0.000
0.850 0.350 0.500
```

What are the relative energies? In meV/atom: w 14; x 0.